The following is a DFT calculation (GGA-PBEsol) of KTl3Sb after structural relaxation.

## Properties
* energy above the most stable polymorph in this dataset: 557.4 meV per atom
* E_form (uncorrected): 0.77 eV per atom

abc: 5.7954 5.7954 5.7954
angles: 90.00 90.00 90.00
With the nearest neighbours (Å) after each atom.
Space group Pm-3m (No. 221)
Asymmetric unit:
K: 0.0000 0.0000 0.0000 x1  6 Tl 2.90
Tl: 0.0000 0.0000 0.5000 x3  2 K 2.90
Sb: 0.5000 0.5000 0.5000 x1  12 Tl 4.10